DFT (PBE) results for a relaxed structure of GdHSe2O8.

a b c (Å): 9.371 10.264 13.655
angles (deg): 90.00 90.00 90.00
Sites, in units of the cell vectors:
H 0.348 0.751 0.696
Se 0.315 0.401 0.151
Gd 0.222 0.052 0.105
O 0.739 0.487 0.277
H 0.848 0.749 0.696
O 0.385 0.665 0.030
Se 0.185 0.401 0.651
Gd 0.778 0.448 0.605
H 0.152 0.751 0.196
Se 0.685 0.599 0.849
H 0.848 0.249 0.804
O 0.079 0.652 0.971
Gd 0.222 0.552 0.395
O 0.237 0.920 0.965
Se 0.510 0.214 0.936
O 0.491 0.410 0.159
O 0.608 0.198 0.359
O 0.756 0.746 0.312
O 0.261 0.513 0.723
O 0.108 0.302 0.359
O 0.256 0.254 0.188
O 0.921 0.848 0.471
O 0.079 0.152 0.529
O 0.115 0.665 0.530
O 0.587 0.103 0.866
O 0.244 0.754 0.812
Se 0.185 0.901 0.849
O 0.087 0.897 0.634
O 0.087 0.397 0.866
O 0.392 0.302 0.859
O 0.256 0.754 0.312
O 0.763 0.080 0.035
O 0.421 0.652 0.471
Se 0.010 0.786 0.564
O 0.615 0.835 0.530
O 0.579 0.848 0.971
Gd 0.778 0.948 0.895
O 0.991 0.590 0.341
O 0.913 0.603 0.134
O 0.237 0.420 0.535
O 0.385 0.165 0.470
O 0.737 0.580 0.965
O 0.108 0.802 0.141
O 0.244 0.254 0.688
Gd 0.722 0.448 0.105
Se 0.815 0.599 0.349
O 0.009 0.910 0.841
O 0.261 0.013 0.777
O 0.761 0.987 0.723
Se 0.815 0.099 0.151
Se 0.490 0.286 0.436
Se 0.490 0.786 0.064
O 0.761 0.487 0.777
O 0.744 0.246 0.688
O 0.913 0.103 0.366
O 0.413 0.397 0.366
O 0.892 0.198 0.859
H 0.152 0.251 0.304
O 0.615 0.335 0.970
O 0.885 0.835 0.030
O 0.885 0.335 0.470
H 0.652 0.749 0.196
O 0.263 0.420 0.035
O 0.608 0.698 0.141
O 0.239 0.513 0.223
O 0.239 0.013 0.277
O 0.413 0.897 0.134
O 0.892 0.698 0.641
Se 0.685 0.099 0.651
Se 0.990 0.714 0.064
O 0.587 0.603 0.634
Se 0.510 0.714 0.564
O 0.763 0.580 0.465
O 0.491 0.910 0.341
O 0.756 0.246 0.188
H 0.652 0.249 0.304
Gd 0.722 0.948 0.395
H 0.348 0.251 0.804
Se 0.990 0.214 0.436
O 0.579 0.348 0.529
Gd 0.278 0.052 0.605
O 0.921 0.348 0.029
O 0.392 0.802 0.641
O 0.009 0.410 0.659
Se 0.315 0.901 0.349
O 0.421 0.152 0.029
O 0.737 0.080 0.535
O 0.991 0.090 0.159
O 0.509 0.090 0.659
O 0.509 0.590 0.841
O 0.739 0.987 0.223
O 0.744 0.746 0.812
Se 0.010 0.286 0.936
O 0.115 0.165 0.970
O 0.263 0.920 0.465
Gd 0.278 0.552 0.895

Output
Electronic total energy = -637.79 eV for the cell shown
DOS at the Fermi energy = 0.00 states/eV per atom